## K2Hg6SbAu (PBE)

Data for a relaxed structure of K2Hg6SbAu.

Cell: 8.263 8.108 9.799 Å, 90.00 90.00 90.00°
Fractional coordinates of all 20 atoms:
Sb  0.000  0.540  0.500
Sb  0.500  0.460  0.000
Hg  0.000  0.788  0.728
Hg  0.679  0.014  0.000
Hg  0.820  0.596  0.000
Hg  0.821  0.986  0.500
Hg  0.000  0.788  0.272
Hg  0.179  0.986  0.500
Hg  0.320  0.404  0.500
Hg  0.321  0.014  0.000
Hg  0.500  0.212  0.228
Hg  0.180  0.596  0.000
Hg  0.500  0.212  0.772
Hg  0.680  0.404  0.500
K  0.500  0.752  0.282
K  0.000  0.248  0.782
K  0.000  0.248  0.218
K  0.500  0.752  0.718
Au  0.500  0.087  0.500
Au  0.000  0.913  0.000

The crystal system is orthorhombic. The calculated volume comes out at 32.8 Å³/atom. As for the energy relative to the elements, uncorrected: -141 meV/atom. As for the space-group type: Pmmn (59). For the calculated total energy, the calculation gives -25.6 eV/cell.